[1]
A relaxed La8Ho2Mg crystal. Source: Alexandria, functional GGA-PBE.

- Formation energy from the elements: 0.0067 eV/atom
- SG: C2/m
- DOS at the Fermi energy: 16.95 states/eV/cell

Cell lengths 9.660, 9.660, 8.204 Å; angles 104.67, 104.67, 31.08 degrees
Atoms (fractional coordinates):
La (0.046, 0.046, 0.225)
La (0.138, 0.138, 0.683)
La (0.321, 0.321, 0.589)
La (0.408, 0.408, 0.047)
La (0.592, 0.592, 0.953)
La (0.679, 0.679, 0.411)
La (0.862, 0.862, 0.317)
La (0.954, 0.954, 0.775)
Ho (0.227, 0.227, 0.135)
Ho (0.773, 0.773, 0.865)
Mg (0.500, 0.500, 0.500)

***

[2]
A relaxed La6Ho2Mg crystal. Source: Alexandria, functional GGA-PBE.

- Formation energy from the elements: 0.0083 eV/atom
- SG: C2/c
- DOS at the Fermi energy: 30.00 states/eV/cell

Cell lengths 11.408, 11.408, 9.406 Å; angles 108.84, 108.84, 32.56 degrees
Atoms (fractional coordinates):
La (0.002, 0.671, 0.088)
La (0.126, 0.768, 0.864)
La (0.230, 0.542, 0.468)
La (0.232, 0.874, 0.636)
La (0.329, 0.998, 0.412)
La (0.458, 0.770, 0.032)
La (0.542, 0.230, 0.968)
La (0.671, 0.002, 0.588)
La (0.768, 0.126, 0.364)
La (0.770, 0.458, 0.532)
La (0.874, 0.232, 0.136)
La (0.998, 0.329, 0.912)
Ho (0.110, 0.446, 0.696)
Ho (0.446, 0.110, 0.196)
Ho (0.554, 0.890, 0.804)
Ho (0.890, 0.554, 0.304)
Mg (0.328, 0.672, 0.250)
Mg (0.672, 0.328, 0.750)

***

| no. | total magnetic moment (μB/atom) |
| --- | --- |
| 1 | 0.000 |
| 2 | 0.000 |